Entry 1:
Entry from the Open Quantum Materials Database: crystalline YTaAs at its relaxed geometry (PBE).

a = 4.8264 Å, b = 4.8264 Å, c = 4.8264 Å
α = 60.00°, β = 60.00°, γ = 60.00°
With the nearest neighbours (Å) after each atom.
Atoms (fractional coordinates):
As 0.2500 0.2500 0.2500  4 Y 2.96
Ta 0.7500 0.7500 0.7500  4 Y 2.96
Y 0.0000 0.0000 0.0000  4 As 2.96, 4 Ta 2.96

Calculated total energy   -6.739 eV per atom

***

Entry 2:
Entry from the Open Quantum Materials Database: crystalline YTaAs at its relaxed geometry (PBE).

a = 4.5550 Å, b = 4.5550 Å, c = 4.5550 Å
α = 60.00°, β = 60.00°, γ = 60.00°
With the nearest neighbours (Å) after each atom.
Atoms (fractional coordinates):
Ta 0.2500 0.2500 0.2500  4 As 2.79
Y 0.7500 0.7500 0.7500  4 As 2.79
As 0.0000 0.0000 0.0000  4 Y 2.79, 4 Ta 2.79

Calculated total energy   -7.752 eV per atom

***

Entry 3:
Entry from the Open Quantum Materials Database: crystalline ZrTaAs at its relaxed geometry (PBE).

a = 4.4246 Å, b = 4.4246 Å, c = 4.4246 Å
α = 60.00°, β = 60.00°, γ = 60.00°
With the nearest neighbours (Å) after each atom.
Atoms (fractional coordinates):
Ta 0.2500 0.2500 0.2500  4 As 2.71
As 0.0000 0.0000 0.0000  4 Zr 2.71, 4 Ta 2.71
Zr 0.7500 0.7500 0.7500  4 As 2.71

Calculated total energy   -8.482 eV per atom

***

Entry 4:
Entry from the Open Quantum Materials Database: crystalline ZrTaAs2 at its relaxed geometry (PBE).

a = 4.7141 Å, b = 4.7141 Å, c = 4.7141 Å
α = 60.00°, β = 60.00°, γ = 60.00°
With the nearest neighbours (Å) after each atom.
Atoms (fractional coordinates):
Ta 0.5000 0.5000 0.5000  4 As 2.89, 4 Zr 2.89
Zr 0.2500 0.2500 0.2500  4 Ta 2.89, 4 As 2.89
As 0.0000 0.0000 0.0000  4 As 2.89, 4 Zr 2.89
As 0.7500 0.7500 0.7500  4 Ta 2.89, 4 As 2.89

Calculated total energy   -7.315 eV per atom

***

Entry 5:
Entry from the Open Quantum Materials Database: crystalline TbTcAs at its relaxed geometry (PBE).

a = 4.4906 Å, b = 4.4906 Å, c = 4.4906 Å
α = 60.00°, β = 60.00°, γ = 60.00°
With the nearest neighbours (Å) after each atom.
Atoms (fractional coordinates):
Tc 0.7500 0.7500 0.7500  4 As 2.75
As 0.0000 0.0000 0.0000  4 Tc 2.75, 4 Tb 2.75
Tb 0.2500 0.2500 0.2500  4 As 2.75

Calculated total energy   -6.744 eV per atom

***

Entry 6:
Entry from the Open Quantum Materials Database: crystalline Tb4Te3As at its relaxed geometry (PBE).

a = 7.5142 Å, b = 7.5142 Å, c = 4.2727 Å
α = 90.00°, β = 90.00°, γ = 108.99°
With the nearest neighbours (Å) after each atom.
Atoms (fractional coordinates):
Te 0.0000 0.5000 0.0000  6 Tb 3.06-3.07
Te 0.5000 0.0000 0.0000  6 Tb 3.06-3.07
Te 0.5000 0.5000 0.5000  6 Tb 3.23-3.27
As 0.0000 0.0000 0.5000  6 Tb 2.85-2.89
Tb 0.2223 0.2223 0.0000  2 As 2.89, 4 Te 3.07-3.23
Tb 0.7673 0.2327 0.5000  1 As 2.85, 4 Te 3.06
Tb 0.2327 0.7673 0.5000  1 As 2.85, 4 Te 3.06
Tb 0.7777 0.7777 0.0000  2 As 2.89, 4 Te 3.07-3.23

Calculated total energy   -5.492 eV per atom

***

> Which value of calculated total energy does entry 6 give?

-5.492 eV per atom